[1]
Computed, not measured: a relaxed Rb2MnO crystal at the GGA+U level of DFT.

As for the density of states at the Fermi level: 0.47 states/eV per atom. As for the energy: -4.15 eV per atom.

a b c (Å): 9.268 9.268 9.268
angles (deg): 92.49 92.49 155.92
Fractional coordinates of all 8 atoms:
Rb1 0.375 0.070 0.195
Rb2 0.820 0.625 0.695
Rb3 0.875 0.180 0.805
Rb4 0.930 0.125 0.305
Mn1 0.250 0.750 0.500
Mn2 0.500 0.500 0.000
O1 0.000 0.000 0.000
O2 0.750 0.250 0.500


[2]
Computed, not measured: a relaxed Rb4MnO5 crystal at the GGA+U level of DFT.

As for the density of states at the Fermi level: 0.70 states/eV per atom. As for the energy: -4.75 eV per atom.

a b c (Å): 6.649 6.649 6.649
angles (deg): 100.95 100.95 128.32
Fractional coordinates of all 10 atoms:
Rb1 0.102 0.709 0.811
Rb2 0.291 0.102 0.393
Rb3 0.709 0.898 0.607
Rb4 0.898 0.291 0.189
Mn1 0.446 0.446 0.000
O1 0.145 0.145 0.000
O2 0.313 0.456 0.730
O3 0.456 0.725 0.142
O4 0.583 0.313 0.858
O5 0.725 0.583 0.270


[3]
Computed, not measured: a relaxed Rb2Mn2O3 crystal at the GGA+U level of DFT.

As for the energy: -5.92 eV per atom.

a b c (Å): 6.221 6.561 6.831
angles (deg): 90.00 114.71 90.00
Fractional coordinates of all 14 atoms:
Rb1 0.182 0.129 0.424
Rb2 0.182 0.371 0.924
Rb3 0.818 0.629 0.076
Rb4 0.818 0.871 0.576
Mn1 0.335 0.611 0.576
Mn2 0.335 0.889 0.076
Mn3 0.665 0.111 0.924
Mn4 0.665 0.389 0.424
O1 0.000 0.000 0.000
O2 0.000 0.500 0.500
O3 0.413 0.642 0.299
O4 0.413 0.858 0.799
O5 0.587 0.142 0.201
O6 0.587 0.358 0.701


[4]
Computed, not measured: a relaxed Rb3MnO3 crystal at the GGA+U level of DFT.

The calculation puts the relative energy among the computed polymorphs at 3.4 meV per atom.

a b c (Å): 7.633 6.861 11.480
angles (deg): 90.00 94.38 90.00
Fractional coordinates of all 28 atoms:
Rb1 0.040 0.120 0.163
Rb2 0.040 0.380 0.663
Rb3 0.344 0.174 0.929
Rb4 0.344 0.326 0.429
Rb5 0.384 0.678 0.809
Rb6 0.384 0.822 0.309
Rb7 0.616 0.178 0.691
Rb8 0.616 0.322 0.191
Rb9 0.656 0.674 0.571
Rb10 0.656 0.826 0.071
Rb11 0.960 0.620 0.337
Rb12 0.960 0.880 0.837
Mn1 0.152 0.586 0.069
Mn2 0.152 0.914 0.569
Mn3 0.848 0.086 0.431
Mn4 0.848 0.414 0.931
O1 0.093 0.002 0.405
O2 0.093 0.498 0.905
O3 0.268 0.026 0.704
O4 0.268 0.474 0.204
O5 0.274 0.678 0.547
O6 0.274 0.822 0.047
O7 0.726 0.178 0.953
O8 0.726 0.322 0.453
O9 0.732 0.526 0.796
O10 0.732 0.974 0.296
O11 0.907 0.502 0.095
O12 0.907 0.998 0.595


[5]
Computed, not measured: a relaxed Rb3MnO3 crystal at the GGA+U level of DFT.

The calculation puts the relative energy among the computed polymorphs at 0.0 meV per atom.

a b c (Å): 7.031 12.092 7.172
angles (deg): 90.00 98.26 90.00
Fractional coordinates of all 28 atoms:
Rb1 0.009 0.228 0.082
Rb2 0.009 0.272 0.582
Rb3 0.342 0.510 0.642
Rb4 0.342 0.990 0.142
Rb5 0.470 0.211 0.494
Rb6 0.470 0.289 0.994
Rb7 0.530 0.711 0.006
Rb8 0.530 0.789 0.506
Rb9 0.658 0.010 0.858
Rb10 0.658 0.490 0.358
Rb11 0.991 0.728 0.418
Rb12 0.991 0.772 0.918
Mn1 0.159 0.503 0.156
Mn2 0.159 0.997 0.656
Mn3 0.841 0.003 0.344
Mn4 0.841 0.497 0.844
O1 0.101 0.071 0.407
O2 0.101 0.429 0.907
O3 0.273 0.117 0.801
O4 0.273 0.383 0.301
O5 0.301 0.624 0.273
O6 0.301 0.876 0.773
O7 0.699 0.124 0.227
O8 0.699 0.376 0.727
O9 0.727 0.617 0.699
O10 0.727 0.883 0.199
O11 0.899 0.571 0.093
O12 0.899 0.929 0.593


[6]
Computed, not measured: a relaxed RbMnO2 crystal at the GGA+U level of DFT.

As for the density of states at the Fermi level: 0.00 states/eV per atom. As for the energy: -6.16 eV per atom.

a b c (Å): 6.627 7.940 8.681
angles (deg): 76.69 88.07 78.84
Fractional coordinates of all 24 atoms:
Rb1 0.019 0.459 0.269
Rb2 0.153 0.107 0.619
Rb3 0.173 0.130 0.034
Rb4 0.827 0.870 0.966
Rb5 0.847 0.893 0.381
Rb6 0.981 0.541 0.731
Mn1 0.400 0.672 0.049
Mn2 0.403 0.676 0.382
Mn3 0.415 0.678 0.714
Mn4 0.585 0.322 0.286
Mn5 0.597 0.324 0.618
Mn6 0.600 0.328 0.951
O1 0.211 0.764 0.200
O2 0.227 0.772 0.536
O3 0.227 0.777 0.862
O4 0.389 0.380 0.448
O5 0.390 0.382 0.109
O6 0.397 0.374 0.781
O7 0.603 0.626 0.219
O8 0.610 0.618 0.891
O9 0.611 0.620 0.552
O10 0.773 0.223 0.138
O11 0.773 0.228 0.464
O12 0.789 0.236 0.800


[7]
Computed, not measured: a relaxed RbMnO2 crystal at the GGA+U level of DFT.

As for the density of states at the Fermi level: 1.19 states/eV per atom. As for the energy: -4.98 eV per atom.

a b c (Å): 4.367 4.367 4.367
angles (deg): 60.00 60.00 60.00
Fractional coordinates of all 4 atoms:
Rb1 0.000 0.000 0.000
Mn1 0.500 0.500 0.500
O1 0.250 0.250 0.250
O2 0.750 0.750 0.750


[8]
Computed, not measured: a relaxed Rb3MnO4 crystal at the GGA+U level of DFT.

As for the density of states at the Fermi level: 0.00 states/eV per atom. As for the energy: -5.21 eV per atom.

a b c (Å): 8.109 9.657 8.289
angles (deg): 90.00 90.00 90.00
Fractional coordinates of all 32 atoms:
Rb1 0.040 0.037 0.221
Rb2 0.040 0.463 0.221
Rb3 0.172 0.750 0.440
Rb4 0.328 0.250 0.940
Rb5 0.460 0.537 0.721
Rb6 0.460 0.963 0.721
Rb7 0.540 0.037 0.279
Rb8 0.540 0.463 0.279
Rb9 0.672 0.750 0.060
Rb10 0.828 0.250 0.560
Rb11 0.960 0.537 0.779
Rb12 0.960 0.963 0.779
Mn1 0.226 0.750 0.990
Mn2 0.274 0.250 0.490
Mn3 0.726 0.750 0.510
Mn4 0.774 0.250 0.010
O1 0.028 0.750 0.066
O2 0.173 0.102 0.549
O3 0.173 0.398 0.549
O4 0.214 0.750 0.781
O5 0.286 0.250 0.281
O6 0.327 0.602 0.049
O7 0.327 0.898 0.049
O8 0.472 0.250 0.566
O9 0.528 0.750 0.434
O10 0.673 0.102 0.951
O11 0.673 0.398 0.951
O12 0.714 0.750 0.719
O13 0.786 0.250 0.219
O14 0.827 0.602 0.451
O15 0.827 0.898 0.451
O16 0.972 0.250 0.934


[9]
Computed, not measured: a relaxed RbMn4O8 crystal at the GGA+U level of DFT.

As for the density of states at the Fermi level: 0.26 states/eV per atom. As for the energy: -6.92 eV per atom.

a b c (Å): 7.227 7.227 10.018
angles (deg): 133.57 133.57 24.10
Fractional coordinates of all 13 atoms:
Rb1 0.000 0.000 0.000
Mn1 0.151 0.151 0.486
Mn2 0.336 0.336 0.184
Mn3 0.664 0.664 0.816
Mn4 0.849 0.849 0.514
O1 0.042 0.042 0.713
O2 0.294 0.294 0.947
O3 0.336 0.336 0.378
O4 0.344 0.344 0.640
O5 0.656 0.656 0.360
O6 0.664 0.664 0.622
O7 0.706 0.706 0.053
O8 0.958 0.958 0.287


[10]
Computed, not measured: a relaxed RbMn4O8 crystal at the GGA+U level of DFT.

As for the density of states at the Fermi level: 0.14 states/eV per atom. As for the energy: -6.92 eV per atom.

a b c (Å): 5.836 5.940 7.650
angles (deg): 91.94 111.00 119.36
Fractional coordinates of all 13 atoms:
Rb1 0.000 0.000 0.000
Mn1 0.000 0.000 0.500
Mn2 0.000 0.500 0.500
Mn3 0.500 0.000 0.500
Mn4 0.500 0.500 0.500
O1 0.077 0.780 0.360
O2 0.086 0.312 0.350
O3 0.426 0.220 0.638
O4 0.429 0.721 0.644
O5 0.571 0.279 0.356
O6 0.574 0.780 0.362
O7 0.914 0.688 0.650
O8 0.923 0.220 0.640


[11]
Computed, not measured: a relaxed Rb2MnO2 crystal at the GGA+U level of DFT.

As for the energy: -4.79 eV per atom.

a b c (Å): 7.066 8.235 9.068
angles (deg): 90.00 112.20 90.00
Fractional coordinates of all 20 atoms:
Rb1 0.074 0.217 0.048
Rb2 0.074 0.283 0.548
Rb3 0.326 0.579 0.286
Rb4 0.326 0.921 0.786
Rb5 0.674 0.079 0.214
Rb6 0.674 0.421 0.714
Rb7 0.926 0.717 0.452
Rb8 0.926 0.783 0.952
Mn1 0.322 0.520 0.900
Mn2 0.322 0.980 0.400
Mn3 0.678 0.020 0.600
Mn4 0.678 0.480 0.100
O1 0.072 0.552 0.760
O2 0.072 0.948 0.260
O3 0.436 0.136 0.562
O4 0.436 0.364 0.062
O5 0.564 0.636 0.938
O6 0.564 0.864 0.438
O7 0.928 0.052 0.740
O8 0.928 0.448 0.240


[12]
Computed, not measured: a relaxed RbMn2O3 crystal at the GGA+U level of DFT.

As for the density of states at the Fermi level: 0.09 states/eV per atom. As for the energy: -6.60 eV per atom.

a b c (Å): 3.029 10.026 5.652
angles (deg): 90.00 90.00 90.00
Fractional coordinates of all 12 atoms:
Rb1 0.000 0.111 0.000
Rb2 0.000 0.889 0.500
Mn1 0.000 0.255 0.484
Mn2 0.000 0.745 0.984
Mn3 0.500 0.468 0.997
Mn4 0.500 0.532 0.497
O1 0.000 0.418 0.729
O2 0.000 0.582 0.229
O3 0.500 0.139 0.589
O4 0.500 0.327 0.284
O5 0.500 0.673 0.784
O6 0.500 0.861 0.089


[13]
Computed, not measured: a relaxed Rb2MnO2 crystal at the GGA+U level of DFT.

As for the density of states at the Fermi level: 0.22 states/eV per atom. As for the energy: -5.11 eV per atom.

a b c (Å): 7.033 7.033 8.213
angles (deg): 120.52 120.52 48.23
Fractional coordinates of all 10 atoms:
Rb1 0.033 0.033 0.250
Rb2 0.328 0.328 0.931
Rb3 0.672 0.672 0.069
Rb4 0.967 0.967 0.750
Mn1 0.365 0.365 0.379
Mn2 0.635 0.635 0.621
O1 0.202 0.202 0.140
O2 0.488 0.488 0.666
O3 0.512 0.512 0.334
O4 0.798 0.798 0.860


[14]
Computed, not measured: a relaxed RbMnO3 crystal at the GGA+U level of DFT.

As for the density of states at the Fermi level: 0.84 states/eV per atom. As for the energy: -5.61 eV per atom.

a b c (Å): 3.956 3.956 3.956
angles (deg): 90.00 90.00 90.00
Fractional coordinates of all 5 atoms:
Rb1 0.000 0.000 0.000
Mn1 0.500 0.500 0.500
O1 0.000 0.500 0.500
O2 0.500 0.000 0.500
O3 0.500 0.500 0.000


[15]
Computed, not measured: a relaxed Rb5MnO4 crystal at the GGA+U level of DFT.

As for the energy: -4.39 eV per atom.

a b c (Å): 8.378 8.825 6.469
angles (deg): 90.00 90.00 90.00
Fractional coordinates of all 20 atoms:
Rb1 0.017 0.057 0.241
Rb2 0.017 0.443 0.241
Rb3 0.250 0.750 0.374
Rb4 0.483 0.057 0.241
Rb5 0.483 0.443 0.241
Rb6 0.517 0.557 0.759
Rb7 0.517 0.943 0.759
Rb8 0.750 0.250 0.626
Rb9 0.983 0.557 0.759
Rb10 0.983 0.943 0.759
Mn1 0.250 0.250 0.708
Mn2 0.750 0.750 0.292
O1 0.039 0.250 0.839
O2 0.250 0.048 0.571
O3 0.250 0.452 0.571
O4 0.461 0.250 0.839
O5 0.539 0.750 0.161
O6 0.750 0.548 0.429
O7 0.750 0.952 0.429
O8 0.961 0.750 0.161


[16]
Computed, not measured: a relaxed Rb2Mn3O4 crystal at the GGA+U level of DFT.

As for the energy: -6.36 eV per atom.

a b c (Å): 8.646 8.646 6.108
angles (deg): 101.76 101.76 46.31
Fractional coordinates of all 18 atoms:
Rb1 0.009 0.756 0.507
Rb2 0.244 0.991 0.993
Rb3 0.756 0.009 0.007
Rb4 0.991 0.244 0.493
Mn1 0.189 0.425 0.909
Mn2 0.425 0.189 0.409
Mn3 0.480 0.520 0.250
Mn4 0.520 0.480 0.750
Mn5 0.575 0.811 0.591
Mn6 0.811 0.575 0.091
O1 0.139 0.385 0.209
O2 0.273 0.605 0.953
O3 0.385 0.139 0.709
O4 0.395 0.727 0.547
O5 0.605 0.273 0.453
O6 0.615 0.861 0.291
O7 0.727 0.395 0.047
O8 0.861 0.615 0.791


[17]
Computed, not measured: a relaxed RbMn3O crystal at the GGA+U level of DFT.

As for the density of states at the Fermi level: 0.29 states/eV per atom. As for the energy: -5.23 eV per atom.

a b c (Å): 4.811 4.811 4.811
angles (deg): 90.00 90.00 90.00
Fractional coordinates of all 5 atoms:
Rb1 0.000 0.000 0.000
Mn1 0.000 0.500 0.500
Mn2 0.500 0.000 0.500
Mn3 0.500 0.500 0.000
O1 0.500 0.500 0.500


[18]
Computed, not measured: a relaxed Rb4MnO4 crystal at the GGA+U level of DFT.

As for the density of states at the Fermi level: 0.63 states/eV per atom. The calculation puts the relative energy among the computed polymorphs at 41.6 meV per atom.

a b c (Å): 7.378 7.378 7.378
angles (deg): 125.26 125.26 81.11
Fractional coordinates of all 9 atoms:
Rb1 0.000 0.500 0.500
Rb2 0.207 0.207 0.000
Rb3 0.500 0.000 0.500
Rb4 0.793 0.793 0.000
Mn1 0.500 0.500 0.000
O1 0.250 0.569 0.000
O2 0.431 0.431 0.682
O3 0.569 0.250 0.000
O4 0.750 0.750 0.318